VASP calculation (GGA-PBE) on a geometry-optimized LaHfAu2 structure.

```
data_LaHfAu2
_symmetry_space_group_name_H-M 'P 1'
_symmetry_Int_Tables_number 1
_symmetry_space_group_name_Hall 'P 1'
_cell_length_a 3.472
_cell_length_b 3.472
_cell_length_c 7.597
_cell_angle_alpha 90.00
_cell_angle_beta 90.00
_cell_angle_gamma 90.00
loop_
_atom_site_label
_atom_site_fract_x
_atom_site_fract_y
_atom_site_fract_z
_atom_site_occupancy
La1 0.000 0.000 0.000 1
Hf1 0.000 0.000 0.500 1
Au1 0.500 0.500 0.297 1
Au2 0.500 0.500 0.703 1
```

Results
Its energy above the lowest structure with this stoichiometry is 0 meV/atom. The value obtained for the formation energy is -2.316 eV/f.u. Its space-group type is P4/mmm. Its total energy is -5.94 eV per atom. The total magnetic moment is 0.0 μB/cell.